# UZnGeO (PBE-GGA, optimized geometry)
# total DFT energy (no corrections)	-6.8614	eV/atom
# space-group type	P4/nmm
# ΔE_f (raw)	-1.33	eV/atom
data_UZnGeO
_cell_length_a 3.919
_cell_length_b 3.919
_cell_length_c 8.575
_cell_angle_alpha 90.00
_cell_angle_beta 90.00
_cell_angle_gamma 90.00
_symmetry_space_group_name_H-M 'P 1'
_symmetry_Int_Tables_number 1
loop_
_symmetry_equiv_pos_as_xyz
'x,y,z'
loop_
_atom_site_label
_atom_site_fract_x
_atom_site_fract_y
_atom_site_fract_z
Ge1 0.000 0.500 0.806
U1 0.500 0.000 0.647
Zn1 0.000 0.000 0.000
Zn2 0.500 0.500 0.000
Ge2 0.500 0.000 0.194
O1 0.500 0.500 0.500
O2 0.000 0.000 0.500
U2 0.000 0.500 0.353